Entry 1:
Ge3TeO: relaxed, GGA-PBE.

a b c (Å): 4.6263 4.6263 4.6263
angles (deg): 90.00 90.00 90.00
Space group Pm-3m (No. 221)
Symmetry-distinct sites (fractional):
Ge: 0.0000 0.0000 0.5000 [3 per cell]
Te: 0.5000 0.5000 0.5000 [1 per cell]
O: 0.0000 0.0000 0.0000 [1 per cell]

Uncorrected formation energy = 0.023 eV/atom
Energy above the lowest structure with this stoichiometry = 0.0 meV/atom
Total energy = -21.838 eV per cell



Entry 2:
MgTiRe2: relaxed, GGA-PBE.

a b c (Å): 3.8956 3.8956 19.0452
angles (deg): 90.00 90.00 90.00
Space group I-42d (No. 122)
Symmetry-distinct sites (fractional):
Mg: 0.0000 0.0000 0.0000 [4 per cell]
Ti: 0.0000 0.0000 0.5000 [4 per cell]
Re: 0.1885 0.2500 0.6250 [8 per cell]

Formation energy from the elements = 68.3 kJ per mole of atoms
Total energy = -126.209 eV per cell



Entry 3:
TmMgSi2: relaxed, GGA-PBE.

a b c (Å): 4.3225 4.3225 3.9917
angles (deg): 90.00 90.00 90.00
Space group P4/mmm (No. 123)
Symmetry-distinct sites (fractional):
Tm: 0.0000 0.0000 0.0000 [1 per cell]
Mg: 0.5000 0.5000 0.0000 [1 per cell]
Si: 0.0000 0.5000 0.5000 [2 per cell]

Uncorrected formation energy = -0.312 eV/atom
Energy above the lowest structure with this stoichiometry = 81.6 meV/atom
Total energy = -18.159 eV per cell



Entry 4:
TaTlCl2: relaxed, GGA-PBE.

a b c (Å): 3.1816 3.1816 32.9908
angles (deg): 90.00 90.00 120.00
Space group R-3m (No. 166, hexagonal axes)
Symmetry-distinct sites (fractional):
Ta: 0.0000 0.0000 0.0000 [3 per cell]
Tl: 0.0000 0.0000 0.5000 [3 per cell]
Cl: 0.0000 0.0000 0.3875 [6 per cell]

Uncorrected formation energy = -0.511 eV/atom
Energy above the lowest structure with this stoichiometry = 0.0 meV/atom
Total energy = -59.868 eV per cell